PBE Na3Ce2HfSe6, relaxed; formation energy without anion corrections = -34.06 kcal/mol of atoms; density of states at the Fermi level = 1.298 states/eV per atom; calculated volume = 312 Å³/cell; E = -5.37 eV per atom
1.0
3.577 -6.198 0.000
3.577 6.198 0.000
-2.406 0.000 7.041
Na Ce Hf Se
3 2 1 6
Direct
0.000 0.000 0.000
0.331 0.669 0.000
0.669 0.331 0.000
0.167 0.833 0.500
0.833 0.167 0.500
0.500 0.500 0.500
0.112 0.422 0.268
0.268 0.268 0.730
0.422 0.112 0.268
0.578 0.888 0.732
0.732 0.732 0.270
0.888 0.578 0.732